Version A
The following is a PBE calculation of a geometry-optimized Na2ZnSn3 structure, from Alexandria via LeMat-Bulk.

Properties
- M_tot: 0.0 Bohr magnetons per cell

Cell lengths 11.249, 4.961, 7.915 Å; angles 90.00, 133.16, 90.00 degrees
Space group Cm (No. 8)
Asymmetric unit:
Na (0.000, 0.000, 0.000) [2 per cell]
Na (0.127, 0.000, 0.638) [2 per cell]
Zn (0.241, 0.500, 0.420) [2 per cell]
Sn (0.223, 0.500, 0.051) [2 per cell]
Sn (0.393, 0.000, 0.579) [2 per cell]
Sn (0.427, 0.000, 0.230) [2 per cell]

***

Version B
The following is a PBE calculation of a geometry-optimized Na2ZnSn3 structure, from Alexandria via LeMat-Bulk.

Properties
- M_tot: 0.0 Bohr magnetons per cell

Cell lengths 6.5123, 6.5123, 9.1333 Å; angles 90.00, 90.00, 120.00 degrees
Space group P-3m1 (No. 164)
Asymmetric unit:
Na (0.0000, 0.0000, 0.0000) [1 per cell]
Na (0.0000, 0.0000, 0.5000) [1 per cell]
Na (0.3333, 0.6667, 0.0897) [2 per cell]
Zn (0.3333, 0.6667, 0.4418) [2 per cell]
Sn (0.1790, 0.3580, 0.7358) [6 per cell]

***

The energy of each structure relative to the most stable one, in meV/atom, is as follows: version A 0; version B 262.

***

Version A
The following is a PBE calculation of a geometry-optimized NaZnSn4 structure, from Alexandria via LeMat-Bulk.

Properties
- M_tot: 0.0 Bohr magnetons per cell

Cell lengths 8.833, 8.833, 8.833 Å; angles 90.00, 90.00, 90.00 degrees
Space group F-43m (No. 216)
Asymmetric unit:
Na (0.000, 0.000, 0.000) [4 per cell]
Zn (0.250, 0.250, 0.750) [4 per cell]
Sn (0.125, 0.125, 0.375) [16 per cell]

***

Version B
The following is a PBE calculation of a geometry-optimized NaZnSn4 structure, from Alexandria via LeMat-Bulk.

Properties
- M_tot: 0.0 Bohr magnetons per cell

Cell lengths 6.005, 6.394, 9.101 Å; angles 74.16, 86.24, 68.37 degrees
Space group P-1 (No. 2)
Asymmetric unit:
Na (0.218, 0.013, 0.235) [2 per cell]
Zn (0.336, 0.456, 0.265) [2 per cell]
Sn (0.158, 0.354, 0.883) [2 per cell]
Sn (0.223, 0.588, 0.549) [2 per cell]
Sn (0.279, 0.047, 0.595) [2 per cell]
Sn (0.328, 0.774, 0.949) [2 per cell]

***

The energy of each structure relative to the most stable one, in meV/atom, is as follows: version A 146; version B 0.